Model w:
TaNiTeI2: optimized geometry, GGA-PBE.

The structure belongs to space group P4/mmm (No. 123); the cell edges are 5.547, 5.547 and 5.391 Å and the angles 90.00°, 90.00° and 90.00°. The asymmetric unit holds Ta at (0.000, 0.000, 0.000), Ni at (0.500, 0.500, 0.500), Te at (0.000, 0.000, 0.500) and I at (0.000, 0.500, 0.000).

---

Model x:
TaNiTeI2: optimized geometry, GGA-PBE.

The structure belongs to space group P4/mmm (No. 123); the cell edges are 4.994, 4.994 and 5.115 Å and the angles 90.00°, 90.00° and 90.00°. The asymmetric unit holds Ta at (0.000, 0.000, 0.000), Ni at (0.500, 0.500, 0.500), Te at (0.500, 0.500, 0.000) and I at (0.000, 0.500, 0.500).

---

Name the most stable of them. model w.

---

Model w:
Tc2NiI: optimized geometry, GGA-PBE.

The structure belongs to space group Fm-3m (No. 225); the cell edges are 6.240, 6.240 and 6.240 Å and the angles 90.00°, 90.00° and 90.00°. The asymmetric unit holds Tc at (0.250, 0.250, 0.250), Ni at (0.000, 0.000, 0.000) and I at (0.000, 0.000, 0.500).

---

Model x:
Tc2NiI: optimized geometry, GGA-PBE.

The structure belongs to space group I-42d (No. 122); the cell edges are 3.789, 3.789 and 19.329 Å and the angles 90.00°, 90.00° and 90.00°. The asymmetric unit holds Tc at (0.188, 0.250, 0.125), Ni at (0.000, 0.000, 0.000) and I at (0.000, 0.000, 0.500).

---

Name the most stable of them. model w.

---

Model w:
Ni3Te4I2: optimized geometry, GGA-PBE.

The structure belongs to space group Fmmm (No. 69); the cell edges are 5.605, 9.773 and 20.481 Å and the angles 90.00°, 90.00° and 90.00°. The asymmetric unit holds Ni at (0.000, 0.000, 0.000), Ni at (0.250, 0.250, 0.000), Te at (0.000, 0.166, 0.094) and I at (0.000, 0.000, 0.324).

---

Model x:
Ni3Te4I2: optimized geometry, GGA-PBE.

The structure belongs to space group P-6m2 (No. 187); the cell edges are 3.8016, 3.8016 and 19.3794 Å and the angles 90.00°, 90.00° and 120.00°. The asymmetric unit holds Ni at (0.0000, 0.0000, 0.0000), Ni at (0.3333, 0.6667, 0.3312), Te at (0.0000, 0.0000, 0.2580), Te at (0.0000, 0.0000, 0.4052) and I at (0.3333, 0.6667, 0.0884).

---

Name the most stable of them. model w.

---

Model w:
TlNiTeI2: optimized geometry, GGA-PBE.

The structure belongs to space group P4/mmm (No. 123); the cell edges are 6.037, 6.037 and 5.859 Å and the angles 90.00°, 90.00° and 90.00°. The asymmetric unit holds Tl at (0.000, 0.000, 0.000), Ni at (0.500, 0.500, 0.500), Te at (0.000, 0.000, 0.500) and I at (0.000, 0.500, 0.000).

---

Model x:
TlNiTeI2: optimized geometry, GGA-PBE.

The structure belongs to space group P4/mmm (No. 123); the cell edges are 5.565, 5.565 and 5.027 Å and the angles 90.00°, 90.00° and 90.00°. The asymmetric unit holds Tl at (0.000, 0.000, 0.000), Ni at (0.500, 0.500, 0.500), Te at (0.500, 0.500, 0.000) and I at (0.000, 0.500, 0.500).

---

Name the most stable of them. model x.